Computed, not measured: a relaxed TlMo2Rh crystal at the PBE-GGA level of DFT.

The spin magnetization comes out at 0.00 Bohr magnetons per cell. Its density of states at the Fermi level is 2.2 states/eV/f.u. The calculation puts the volume at 16.9 Å³ per atom. The total energy is -118.22 eV for the cell shown. For the offset from the most stable computed form, the calculation gives 0.158 eV per atom.

The space group is F-43m (No. 216) and the conventional cell measures 6.473, 6.473 and 6.473 Å, with angles of 90.00, 90.00 and 90.00 degrees. The inequivalent atoms are Tl at (0.000, 0.000, 0.000), Mo at (0.000, 0.000, 0.500), Mo at (0.250, 0.250, 0.250) and Rh at (0.250, 0.250, 0.750).



Computed, not measured: a relaxed Ta2MnPt crystal at the PBE-GGA level of DFT.

The spin magnetization comes out at 3.92 Bohr magnetons per cell. Its density of states at the Fermi level is 3.8 states/eV/f.u. The calculation puts the volume at 15.9 Å³ per atom. The total energy is -80.15 eV for the cell shown.

The space group is I4/mmm (No. 139) and the conventional cell measures 3.969, 3.969 and 8.101 Å, with angles of 90.00, 90.00 and 90.00 degrees. The inequivalent atoms are Ta at (0.000, 0.500, 0.250), Mn at (0.000, 0.000, 0.000) and Pt at (0.000, 0.000, 0.500).



Computed, not measured: a relaxed Li5Ag3 crystal at the PBE-GGA level of DFT.

The spin magnetization comes out at 0.00 Bohr magnetons per cell. Its density of states at the Fermi level is 1.8 states/eV/f.u. The calculation puts the volume at 16.4 Å³ per atom. The total energy is -78.32 eV for the cell shown. For the offset from the most stable computed form, the calculation gives 0.002 eV per atom.

The space group is Fmmm (No. 69) and the conventional cell measures 6.137, 6.872 and 12.425 Å, with angles of 90.00, 90.00 and 90.00 degrees. The inequivalent atoms are Li at (0.000, 0.000, 0.000), Li at (0.250, 0.250, 0.130), Ag at (0.000, 0.000, 0.252) and Ag at (0.000, 0.000, 0.500).